(1)
Below is a relaxed SrSiW2 crystal, with properties calculated at the PBE-GGA level.

Results
Total energy in eV per atom: -7.401

a = 4.7123 Å, b = 4.7123 Å, c = 4.7123 Å
α = 60.00°, β = 60.00°, γ = 60.00°
Closest atoms and distances in Å follow each position.
Element x y z (fractional)
Sr: 0.0000 0.0000 0.0000  4 W 2.89, 4 Si 2.89
Si: 0.2500 0.2500 0.2500  4 W 2.89, 4 Sr 2.89
W: 0.5000 0.5000 0.5000  4 W 2.89, 4 Si 2.89
W: 0.7500 0.7500 0.7500  4 Sr 2.89, 4 W 2.89

=====

(2)
Below is a relaxed SrSi2W crystal, with properties calculated at the PBE-GGA level.

Results
Distance to the lowest polymorph of the same formula in eV/f.u.: 3.475

a = 5.5048 Å, b = 5.5048 Å, c = 5.5048 Å
α = 136.89°, β = 136.89°, γ = 62.60°
Closest atoms and distances in Å follow each position.
Element x y z (fractional)
Sr: 0.0000 0.0000 0.0000  8 Si 2.86-3.10, 4 W 3.10
Si: 0.5000 0.5000 0.0000  4 Sr 2.86, 4 W 3.10, 4 Si 3.10
Si: 0.7500 0.2500 0.5000  4 W 2.86, 4 Si 3.10, 4 Sr 3.10
W: 0.2500 0.7500 0.5000  8 Si 2.86-3.10, 4 Sr 3.10

=====

(3)
Below is a relaxed SrSiW2 crystal, with properties calculated at the PBE-GGA level.

Results
Total energy in eV per atom: -7.144

a = 4.0235 Å, b = 4.0235 Å, c = 4.7450 Å
α = 90.00°, β = 90.00°, γ = 90.00°
Closest atoms and distances in Å follow each position.
Element x y z (fractional)
Sr: 0.0000 0.0000 0.0000  4 Si 2.85, 8 W 3.11
Si: 0.5000 0.5000 0.0000  4 Sr 2.85, 8 W 3.11
W: 0.0000 0.5000 0.5000  4 W 2.85, 4 Sr 3.11, 4 Si 3.11
W: 0.5000 0.0000 0.5000  4 W 2.85, 4 Sr 3.11, 4 Si 3.11

=====

(4)
Below is a relaxed SrSi2W crystal, with properties calculated at the PBE-GGA level.

Results
Distance to the lowest polymorph of the same formula in eV/f.u.: 0.849

a = 7.6299 Å, b = 7.6299 Å, c = 7.6299 Å
α = 27.71°, β = 27.71°, γ = 27.71°
Closest atoms and distances in Å follow each position.
Element x y z (fractional)
Sr: 0.0000 0.0000 0.0000  6 Si 3.08
Si: 0.2314 0.2314 0.2314  3 W 2.54
Si: 0.7686 0.7686 0.7686  3 W 2.54
W: 0.5000 0.5000 0.5000  6 Si 2.54

=====

(5)
Below is a relaxed SrSi2W crystal, with properties calculated at the PBE-GGA level.

Results
Distance to the lowest polymorph of the same formula in eV/f.u.: 0.041

a = 3.2448 Å, b = 3.2787 Å, c = 7.1528 Å
α = 90.00°, β = 90.00°, γ = 90.00°
Closest atoms and distances in Å follow each position.
Element x y z (fractional)
Sr: 0.0000 0.0000 0.0000  4 Sr 3.24-3.28, 8 Si 3.25, 2 W 3.58
Si: 0.5000 0.5000 0.3196  1 Si 2.58, 4 W 2.64
Si: 0.5000 0.5000 0.6804  1 Si 2.58, 4 W 2.64
W: 0.0000 0.0000 0.5000  8 Si 2.64

=====

(6)
Below is a relaxed SrSi2W crystal, with properties calculated at the PBE-GGA level.

Results
Distance to the lowest polymorph of the same formula in eV/f.u.: 2.471

a = 4.7397 Å, b = 4.7397 Å, c = 4.7397 Å
α = 60.00°, β = 60.00°, γ = 60.00°
Closest atoms and distances in Å follow each position.
Element x y z (fractional)
Sr: 0.0000 0.0000 0.0000  8 Si 2.90
Si: 0.2500 0.2500 0.2500  4 W 2.90, 4 Sr 2.90
Si: 0.7500 0.7500 0.7500  4 W 2.90, 4 Sr 2.90
W: 0.5000 0.5000 0.5000  8 Si 2.90

=====

(7)
Below is a relaxed SrSi2W crystal, with properties calculated at the PBE-GGA level.

Results
Distance to the lowest polymorph of the same formula in eV/f.u.: 0.846

a = 7.1636 Å, b = 7.1636 Å, c = 7.1636 Å
α = 151.34°, β = 150.97°, γ = 41.25°
Closest atoms and distances in Å follow each position.
Element x y z (fractional)
Sr: 0.0000 0.0000 0.0000  4 Si 3.11, 2 W 3.48
Si: 0.3638 0.3638 0.0000  2 Si 2.48, 2 W 2.59
Si: 0.7364 0.2364 0.5000  2 Si 2.48, 4 W 2.53
W: 0.2234 0.7234 0.5000  6 Si 2.53-2.59

=====

(8)
Below is a relaxed SrSiW2 crystal, with properties calculated at the PBE-GGA level.

Results
Total energy in eV per atom: -7.697

a = 3.3697 Å, b = 3.3697 Å, c = 7.1257 Å
α = 90.00°, β = 90.00°, γ = 90.00°
Closest atoms and distances in Å follow each position.
Element x y z (fractional)
Sr: 0.0000 0.0000 0.0000  4 Sr 3.37, 8 W 3.37, 2 Si 3.56
Si: 0.0000 0.0000 0.5000  8 W 2.66
W: 0.5000 0.5000 0.3351  1 W 2.35
W: 0.5000 0.5000 0.6649  1 W 2.35

=====

(9)
Below is a relaxed SrSiW2 crystal, with properties calculated at the PBE-GGA level.

Results
Total energy in eV per atom: -7.614

a = 9.2662 Å, b = 9.2662 Å, c = 9.2662 Å
α = 19.90°, β = 19.90°, γ = 19.90°
Closest atoms and distances in Å follow each position.
Element x y z (fractional)
Sr: 0.0000 0.0000 0.0000  3 Si 3.15, 6 Sr 3.20, 3 W 3.36
Si: 0.2399 0.2399 0.2399  3 W 2.62
W: 0.5051 0.5051 0.5051  3 Si 2.62, 3 W 2.63
W: 0.7696 0.7696 0.7696  3 W 2.63

=====

(10)
Below is a relaxed SrSi2W crystal, with properties calculated at the PBE-GGA level.

Results
Distance to the lowest polymorph of the same formula in eV/f.u.: 4.374

a = 4.7027 Å, b = 4.7027 Å, c = 4.7027 Å
α = 60.00°, β = 60.00°, γ = 60.00°
Closest atoms and distances in Å follow each position.
Element x y z (fractional)
Sr: 0.0000 0.0000 0.0000  4 W 2.88, 4 Si 2.88
Si: 0.2500 0.2500 0.2500  4 Sr 2.88, 4 Si 2.88
Si: 0.5000 0.5000 0.5000  4 W 2.88, 4 Si 2.88
W: 0.7500 0.7500 0.7500  4 Sr 2.88, 4 Si 2.88

=====

(11)
Below is a relaxed SrSiW4 crystal, with properties calculated at the PBE-GGA level.

Results
Total energy in eV per atom: -8.923

a = 5.4573 Å, b = 5.4573 Å, c = 5.4573 Å
α = 60.00°, β = 60.00°, γ = 60.00°
Closest atoms and distances in Å follow each position.
Element x y z (fractional)
Sr: 0.0000 0.0000 0.0000  12 W 3.20, 4 Si 3.34
Si: 0.2500 0.2500 0.2500  12 W 3.20, 4 Sr 3.34
W: 0.1245 0.6252 0.6252  6 W 2.72-2.73
W: 0.6252 0.1245 0.6252  6 W 2.72-2.73
W: 0.6252 0.6252 0.1245  6 W 2.72-2.73
W: 0.6252 0.6252 0.6252  6 W 2.72-2.73

=====

(12)
Below is a relaxed SrSiW2 crystal, with properties calculated at the PBE-GGA level.

Results
Total energy in eV per atom: -7.239

a = 5.8614 Å, b = 5.8614 Å, c = 2.7543 Å
α = 101.90°, β = 101.90°, γ = 119.82°
Closest atoms and distances in Å follow each position.
Element x y z (fractional)
Sr: 0.0000 0.0000 0.0000  2 Sr 2.75, 2 Si 2.94, 4 W 2.97
Si: 0.5000 0.5000 0.0000  2 Si 2.75, 2 Sr 2.94, 4 W 2.97
W: 0.0000 0.5000 0.5000  4 W 2.75-2.94, 2 Sr 2.97, 2 Si 2.97
W: 0.5000 0.0000 0.5000  4 W 2.75-2.94, 2 Sr 2.97, 2 Si 2.97